(1)
DFT (GGA-PBE) results for an optimized crystal structure of K2TaAu.

total DFT energy (no corrections): -3.36 eV/atom
crystal system: tetragonal
space-group type: P4/mmm (123)

Geometry as POSCAR:
```
K2TaAu
1.0
5.9679 0.0000 0.0000
0.0000 4.0864 0.0000
0.0000 0.0000 4.0864
Au K Ta
1 2 1
Cartesian
2.9839 0.0000 2.0432 Au
0.0000 2.0432 2.0432 K
0.0000 0.0000 0.0000 K
2.9839 2.0432 0.0000 Ta
```


(2)
DFT (GGA-PBE) results for an optimized crystal structure of KTaAu2.

total DFT energy (no corrections): -4.54 eV/atom
crystal system: orthorhombic
space-group type: Pmm2 (25)

Geometry as POSCAR:
```
KTaAu2
1.0
2.7806 0.0000 0.0000
0.0000 4.9222 0.0000
0.0000 0.0000 7.5154
K Au Ta
1 2 1
Cartesian
0.0000 0.0000 3.5535 K
0.0000 0.0000 6.6667 Au
1.3903 2.4611 1.8411 Au
1.3903 2.4611 6.7272 Ta
```


(3)
DFT (GGA-PBE) results for an optimized crystal structure of KTa3Au.

total DFT energy (no corrections): -6.06 eV/atom
crystal system: cubic
space-group type: Pm-3m (221)

Geometry as POSCAR:
```
KTa3Au
1.0
-4.2797 -2.4633 1.3544
2.7943 -3.9972 1.5597
0.3070 2.0427 4.6852
Au Ta K
1 3 1
Cartesian
0.0000 0.0000 0.0000 Au
0.1535 1.0214 2.3426 Ta
-2.1398 -1.2316 0.6772 Ta
1.3971 -1.9986 0.7798 Ta
-0.5892 -2.2088 3.7996 K
```


(4)
DFT (GGA-PBE) results for an optimized crystal structure of KTa2Au.

total DFT energy (no corrections): -5.79 eV/atom
crystal system: tetragonal
space-group type: I-42d (122)

Geometry as POSCAR:
```
KTa2Au
1.0
-0.5775 -1.6652 -4.0767
-2.4924 -3.2661 1.6872
-10.1455 3.4807 -2.4038
Ta K Au
4 2 2
Cartesian
-8.1197 1.1466 -5.3664 Ta
-8.4436 1.1764 -2.9134 Ta
-3.2823 -0.7905 -3.4561 Ta
-4.6704 -2.8328 -3.6146 Ta
-1.5350 -2.4656 -1.1948 K
-7.0864 -1.1255 -0.9557 K
-6.1290 -0.3251 -3.8376 Au
0.0000 0.0000 0.0000 Au
```


(5)
DFT (GGA-PBE) results for an optimized crystal structure of KTaAu2.

total DFT energy (no corrections): -4.20 eV/atom
crystal system: cubic
space-group type: Fm-3m (225)

Geometry as POSCAR:
```
KTaAu2
1.0
0.0000 3.4886 3.4886
3.4886 0.0000 3.4886
3.4886 3.4886 0.0000
Au K Ta
2 1 1
Cartesian
5.2329 5.2329 5.2329 Au
1.7443 1.7443 1.7443 Au
0.0000 0.0000 0.0000 K
3.4886 3.4886 3.4886 Ta
```


(6)
DFT (GGA-PBE) results for an optimized crystal structure of KTa2Au.

total DFT energy (no corrections): -6.11 eV/atom
crystal system: orthorhombic
space-group type: Imm2 (44)

Geometry as POSCAR:
```
KTa2Au
1.0
-1.2550 -3.3909 -5.2932
4.9254 -1.8989 -3.6368
-3.5775 -0.0059 5.3191
Au Ta K
1 2 1
Cartesian
1.9526 -2.8141 -4.7506 Au
3.5066 -5.0538 -8.5315 Ta
-1.4832 -3.0430 -2.2571 Ta
1.6225 -2.3195 -1.4667 K
```


(7)
DFT (GGA-PBE) results for an optimized crystal structure of KTa2Au.

total DFT energy (no corrections): -5.65 eV/atom
crystal system: cubic
space-group type: Fm-3m (225)

Geometry as POSCAR:
```
KTa2Au
1.0
0.0000 3.3807 3.3807
3.3807 0.0000 3.3807
3.3807 3.3807 0.0000
Au Ta K
1 2 1
Cartesian
3.3807 3.3807 3.3807 Au
5.0710 5.0710 5.0710 Ta
1.6903 1.6903 1.6903 Ta
0.0000 0.0000 0.0000 K
```


(8)
DFT (GGA-PBE) results for an optimized crystal structure of KTa2Au.

total DFT energy (no corrections): -6.05 eV/atom
crystal system: tetragonal
space-group type: P4/mmm (123)

Geometry as POSCAR:
```
KTa2Au
1.0
-1.7104 -0.5692 -3.1297
2.9932 -1.4908 -1.3647
-2.4772 -7.4539 2.7095
Au Ta K
1 2 1
Cartesian
0.0221 -2.8935 -1.5698 Au
-0.2619 -0.7881 0.2865 Ta
-0.9767 -2.9388 1.0683 Ta
-1.2165 -6.6204 -0.2151 K
```


(9)
DFT (GGA-PBE) results for an optimized crystal structure of KTa2Au.

total DFT energy (no corrections): -5.95 eV/atom
crystal system: orthorhombic
space-group type: Pmmm (47)

Geometry as POSCAR:
```
KTa2Au
1.0
-0.6653 2.4883 -0.9382
-3.0330 0.8446 4.3907
4.5711 2.2496 2.7249
Au Ta K
1 2 1
Cartesian
-0.7064 2.2289 2.4074 Au
0.0809 0.0398 0.0482 Ta
2.2046 1.0850 1.3142 Ta
1.5791 3.3537 3.7699 K
```


(10)
DFT (GGA-PBE) results for an optimized crystal structure of K2TaAu.

total DFT energy (no corrections): -3.53 eV/atom
crystal system: trigonal
space-group type: R-3m (166)

Geometry as POSCAR:
```
K2TaAu
1.0
-8.7273 -7.5414 -3.2384
-8.8023 -8.1253 -0.1585
-10.4382 -5.7250 -1.3395
K Ta Au
2 1 1
Cartesian
-0.1646 -0.1259 -0.0279 K
-13.8193 -10.5700 -2.3403 K
-6.9920 -5.3479 -1.1841 Ta
-20.9759 -16.0438 -3.5523 Au
```


(11)
DFT (GGA-PBE) results for an optimized crystal structure of KTa2Au.

total DFT energy (no corrections): -6.13 eV/atom
crystal system: orthorhombic
space-group type: Pmmm (47)

Geometry as POSCAR:
```
KTa2Au
1.0
2.8523 0.0000 0.0000
0.0000 5.1734 0.0000
0.0000 0.0000 5.8352
K Ta Au
1 2 1
Cartesian
0.0000 2.5867 2.9176 K
0.0000 0.0000 0.0000 Ta
1.4262 2.5867 0.0000 Ta
1.4262 0.0000 2.9176 Au
```


(12)
DFT (GGA-PBE) results for an optimized crystal structure of KTa2Au.

total DFT energy (no corrections): -6.24 eV/atom
crystal system: tetragonal
space-group type: P4/mmm (123)

Geometry as POSCAR:
```
KTa2Au
1.0
2.8755 0.0000 0.0000
0.0000 2.8755 0.0000
0.0000 0.0000 10.8179
Ta K Au
2 1 1
Cartesian
0.0000 0.0000 4.8155 Ta
0.0000 0.0000 0.5934 Ta
1.4378 1.4378 8.1134 K
1.4378 1.4378 2.7045 Au
```


(13)
DFT (GGA-PBE) results for an optimized crystal structure of K2TaAu.

total DFT energy (no corrections): -3.16 eV/atom
crystal system: cubic
space-group type: F-43m (216)

Geometry as POSCAR:
```
K2TaAu
1.0
-4.4215 -1.9787 -2.4716
-3.0364 -3.7747 2.4710
-4.9511 1.2774 1.8517
K Au Ta
2 1 1
Cartesian
-3.1022 -1.1190 0.4628 K
0.0000 0.0000 0.0000 K
-6.2045 -2.2380 0.9255 Au
-9.3067 -3.3570 1.3883 Ta
```


(14)
DFT (GGA-PBE) results for an optimized crystal structure of K2TaAu.

total DFT energy (no corrections): -3.73 eV/atom
crystal system: monoclinic
space-group type: Cm (8)

Geometry as POSCAR:
```
K2TaAu
1.0
4.8207 -0.0561 0.2323
3.5393 3.2735 0.2323
1.6309 0.6277 10.0736
Au K Ta
1 2 1
Cartesian
2.8058 1.0799 3.9020 Au
7.7971 3.0008 1.3258 K
7.5233 2.8954 7.0114 K
5.2202 2.0091 4.0327 Ta
```


(15)
DFT (GGA-PBE) results for an optimized crystal structure of KTa2Au.

total DFT energy (no corrections): -5.84 eV/atom
crystal system: cubic
space-group type: F-43m (216)

Geometry as POSCAR:
```
KTa2Au
1.0
-4.1275 -2.6094 -0.5206
-1.5854 -1.2184 -4.4853
0.2209 -4.6718 -1.4974
Au Ta K
1 2 1
Cartesian
-2.7460 -4.2498 -3.2516 Au
0.0000 0.0000 0.0000 Ta
-1.3730 -2.1249 -1.6258 Ta
-4.1190 -6.3747 -4.8775 K
```


(16)
DFT (GGA-PBE) results for an optimized crystal structure of KTa2Au.

total DFT energy (no corrections): -5.52 eV/atom
crystal system: tetragonal
space-group type: P4/mmm (123)

Geometry as POSCAR:
```
KTa2Au
1.0
5.1034 0.0000 0.0000
0.0000 5.1034 0.0000
0.0000 0.0000 3.0442
Ta Au K
2 1 1
Cartesian
2.5517 2.5517 0.0000 Ta
0.0000 0.0000 0.0000 Ta
2.5517 0.0000 1.5221 Au
0.0000 2.5517 1.5221 K
```


(17)
DFT (GGA-PBE) results for an optimized crystal structure of K2TaAu.

total DFT energy (no corrections): -3.54 eV/atom
crystal system: orthorhombic
space-group type: Cmmm (65)

Geometry as POSCAR:
```
K2TaAu
1.0
-1.0785 2.6520 -0.8869
-2.3048 -1.5706 1.0973
2.0823 4.4299 10.7137
K Ta Au
2 1 1
Cartesian
1.0828 2.3036 5.5714 K
2.0406 4.3412 10.4992 K
-1.1711 1.6482 2.7836 Ta
-0.1300 3.8631 8.1405 Au
```


(18)
DFT (GGA-PBE) results for an optimized crystal structure of KTaAu2.

total DFT energy (no corrections): -4.81 eV/atom
crystal system: orthorhombic
space-group type: Pmmm (47)

Geometry as POSCAR:
```
KTaAu2
1.0
2.9384 0.0000 0.0000
0.0000 3.8579 0.0000
0.0000 0.0000 8.0910
Au Ta K
2 1 1
Cartesian
0.0000 0.0000 4.5762 Au
0.0000 0.0000 7.5603 Au
1.4692 1.9290 6.0682 Ta
1.4692 1.9290 2.0227 K
```


(19)
DFT (GGA-PBE) results for an optimized crystal structure of KTa2Au.

total DFT energy (no corrections): -6.32 eV/atom
crystal system: trigonal
space-group type: R-3m (166)

Geometry as POSCAR:
```
KTa2Au
1.0
-11.4318 1.2244 0.7553
-10.9634 0.3243 3.5289
-10.7026 3.1845 2.8406
Ta Au K
2 1 1
Cartesian
-32.6576 4.6703 7.0301 Ta
-16.9890 2.4296 3.6572 Ta
-8.2744 1.1833 1.7812 Au
-24.8233 3.5500 5.3436 K
```


(20)
DFT (GGA-PBE) results for an optimized crystal structure of K2TaAu.

total DFT energy (no corrections): -3.52 eV/atom
crystal system: tetragonal
space-group type: P4/mmm (123)

Geometry as POSCAR:
```
K2TaAu
1.0
3.0067 0.0000 0.0000
0.0000 3.0067 0.0000
0.0000 0.0000 11.4660
K Au Ta
2 1 1
Cartesian
0.0000 0.0000 11.2174 K
0.0000 0.0000 5.9815 K
1.5034 1.5034 8.5995 Au
1.5034 1.5034 2.8665 Ta
```


Number 1: energy above the most stable polymorph in this dataset 443 meV per atom, D(E_F) 5.81 states/eV/f.u.. Number 2: energy above the most stable polymorph in this dataset 274 meV per atom, D(E_F) 2.27 states/eV/f.u.. Number 3: energy above the most stable polymorph in this dataset 0 meV per atom, D(E_F) 6.41 states/eV/f.u.. Number 4: energy above the most stable polymorph in this dataset 857 meV per atom, D(E_F) 3.68 states/eV/f.u.. Number 5: energy above the most stable polymorph in this dataset 611 meV per atom, D(E_F) 1.29 states/eV/f.u.. Number 6: energy above the most stable polymorph in this dataset 528 meV per atom, D(E_F) 2.52 states/eV/f.u.. Number 7: energy above the most stable polymorph in this dataset 997 meV per atom, D(E_F) 6.72 states/eV/f.u.. Number 8: energy above the most stable polymorph in this dataset 590 meV per atom, D(E_F) 5.70 states/eV/f.u.. Number 9: energy above the most stable polymorph in this dataset 693 meV per atom, D(E_F) 4.83 states/eV/f.u.. Number 10: energy above the most stable polymorph in this dataset 277 meV per atom, D(E_F) 1.52 states/eV/f.u.. Number 11: energy above the most stable polymorph in this dataset 509 meV per atom, D(E_F) 3.72 states/eV/f.u.. Number 12: energy above the most stable polymorph in this dataset 402 meV per atom, D(E_F) 3.99 states/eV/f.u.. Number 13: energy above the most stable polymorph in this dataset 647 meV per atom, D(E_F) 6.85 states/eV/f.u.. Number 14: energy above the most stable polymorph in this dataset 79 meV per atom, D(E_F) 2.86 states/eV/f.u.. Number 15: energy above the most stable polymorph in this dataset 807 meV per atom, D(E_F) 6.65 states/eV/f.u.. Number 16: energy above the most stable polymorph in this dataset 1118 meV per atom, D(E_F) 5.23 states/eV/f.u.. Number 17: energy above the most stable polymorph in this dataset 265 meV per atom, D(E_F) 2.95 states/eV/f.u.. Number 18: energy above the most stable polymorph in this dataset 0 meV per atom, D(E_F) 2.74 states/eV/f.u.. Number 19: energy above the most stable polymorph in this dataset 319 meV per atom, D(E_F) 3.61 states/eV/f.u.. Number 20: energy above the most stable polymorph in this dataset 283 meV per atom, D(E_F) 3.15 states/eV/f.u..